## w
Density functional theory data (PBE) for crystalline LaNiI2N at its relaxed geometry.

The structure in CIF format:
```
data_LaNiI2N
_chemical_formula_sum 'La1 Ni1 I2 N1'
_space_group_name_H-M_alt 'P 4/m m m'
_space_group_IT_number 123
_space_group_name_Hall '-P 4 2'
_cell_length_a 5.833
_cell_length_b 5.833
_cell_length_c 3.583
_cell_angle_alpha 90.00
_cell_angle_beta 90.00
_cell_angle_gamma 90.00
loop_
_atom_site_label
_atom_site_type_symbol
_atom_site_fract_x
_atom_site_fract_y
_atom_site_fract_z
La1 La 0.000 0.000 0.000
Ni1 Ni 0.500 0.500 0.500
I1 I 0.000 0.500 0.500
N1 N 0.500 0.500 0.000
```


## x
Density functional theory data (PBE) for crystalline LaNiI2N at its relaxed geometry.

The structure in CIF format:
```
data_LaNiI2N
_chemical_formula_sum 'La1 Ni1 I2 N1'
_space_group_name_H-M_alt 'P 4/m m m'
_space_group_IT_number 123
_space_group_name_Hall '-P 4 2'
_cell_length_a 6.430
_cell_length_b 6.430
_cell_length_c 4.133
_cell_angle_alpha 90.00
_cell_angle_beta 90.00
_cell_angle_gamma 90.00
loop_
_atom_site_label
_atom_site_type_symbol
_atom_site_fract_x
_atom_site_fract_y
_atom_site_fract_z
La1 La 0.000 0.000 0.000
Ni1 Ni 0.500 0.500 0.500
I1 I 0.000 0.500 0.000
N1 N 0.000 0.000 0.500
```


Which one sits at the top of the stability order? w does.


## w
Density functional theory data (PBE) for crystalline LaOsIN2 at its relaxed geometry.

The structure in CIF format:
```
data_LaOsIN2
_chemical_formula_sum 'La1 Os1 I1 N2'
_space_group_name_H-M_alt 'P 4/m m m'
_space_group_IT_number 123
_space_group_name_Hall '-P 4 2'
_cell_length_a 4.216
_cell_length_b 4.216
_cell_length_c 6.808
_cell_angle_alpha 90.00
_cell_angle_beta 90.00
_cell_angle_gamma 90.00
loop_
_atom_site_label
_atom_site_type_symbol
_atom_site_fract_x
_atom_site_fract_y
_atom_site_fract_z
La1 La 0.000 0.000 0.000
Os1 Os 0.500 0.500 0.500
I1 I 0.000 0.000 0.500
N1 N 0.000 0.500 0.000
```


## x
Density functional theory data (PBE) for crystalline LaOsIN2 at its relaxed geometry.

The structure in CIF format:
```
data_LaOsIN2
_chemical_formula_sum 'La1 Os1 I1 N2'
_space_group_name_H-M_alt 'P 4/m m m'
_space_group_IT_number 123
_space_group_name_Hall '-P 4 2'
_cell_length_a 4.139
_cell_length_b 4.139
_cell_length_c 5.353
_cell_angle_alpha 90.00
_cell_angle_beta 90.00
_cell_angle_gamma 90.00
loop_
_atom_site_label
_atom_site_type_symbol
_atom_site_fract_x
_atom_site_fract_y
_atom_site_fract_z
La1 La 0.000 0.000 0.000
Os1 Os 0.500 0.500 0.500
I1 I 0.500 0.500 0.000
N1 N 0.000 0.500 0.500
```


Which one sits at the top of the stability order? x does.


## w
Density functional theory data (PBE) for crystalline LaOsI2N at its relaxed geometry.

The structure in CIF format:
```
data_LaOsI2N
_chemical_formula_sum 'La1 Os1 I2 N1'
_space_group_name_H-M_alt 'P 4/m m m'
_space_group_IT_number 123
_space_group_name_Hall '-P 4 2'
_cell_length_a 6.478
_cell_length_b 6.478
_cell_length_c 4.129
_cell_angle_alpha 90.00
_cell_angle_beta 90.00
_cell_angle_gamma 90.00
loop_
_atom_site_label
_atom_site_type_symbol
_atom_site_fract_x
_atom_site_fract_y
_atom_site_fract_z
La1 La 0.000 0.000 0.000
Os1 Os 0.500 0.500 0.500
I1 I 0.000 0.500 0.000
N1 N 0.000 0.000 0.500
```


## x
Density functional theory data (PBE) for crystalline LaOsI2N at its relaxed geometry.

The structure in CIF format:
```
data_LaOsI2N
_chemical_formula_sum 'La1 Os1 I2 N1'
_space_group_name_H-M_alt 'P 4/m m m'
_space_group_IT_number 123
_space_group_name_Hall '-P 4 2'
_cell_length_a 5.719
_cell_length_b 5.719
_cell_length_c 3.791
_cell_angle_alpha 90.00
_cell_angle_beta 90.00
_cell_angle_gamma 90.00
loop_
_atom_site_label
_atom_site_type_symbol
_atom_site_fract_x
_atom_site_fract_y
_atom_site_fract_z
La1 La 0.000 0.000 0.000
Os1 Os 0.500 0.500 0.500
I1 I 0.000 0.500 0.500
N1 N 0.500 0.500 0.000
```


Which one sits at the top of the stability order? x does.